1.
Material: Na3CaMn
Method: DFT, PBE
State: relaxed

Computed properties:
* relative energy among the computed polymorphs: 0 meV/atom
* formation energy: 654 meV/atom
* total energy: -11.86 eV per cell
* spin magnetization: 4.15 μB/f.u.

Cell lengths 5.737, 5.737, 5.737 Å; angles 90.00, 90.00, 90.00 degrees
Atoms (fractional coordinates):
Na 0.000 0.000 0.500
Na 0.000 0.500 0.000
Na 0.500 0.000 0.000
Ca 0.500 0.500 0.500
Mn 0.000 0.000 0.000

***

2.
Material: LiHgPb
Method: DFT, PBE
State: relaxed

Computed properties:
* relative energy among the computed polymorphs: 127 meV/atom
* formation energy: -87 meV/atom
* total energy: -6.19 eV per cell
* spin magnetization: 0.00 μB/f.u.

Cell lengths 4.650, 4.650, 4.701 Å; angles 120.10, 120.10, 60.71 degrees
Atoms (fractional coordinates):
Li 0.000 0.000 0.000
Hg 0.750 0.750 0.249
Pb 0.250 0.250 0.748

***

Number 2 is which compound?
LiHgPb

***

Look up the spin magnetization of the first one.
4.15 μB/f.u.